Density functional theory data (PBE-GGA) for an optimized crystal structure of BSbCl2.

Computed properties:
The value obtained for the offset from the most stable computed form is 738 meV/atom. As for the crystal system: cubic.

a b c (Å): 4.8704 4.8704 4.8704
angles (deg): 60.00 60.00 60.00
With the nearest neighbours (Å) after each atom.
Positions (direct):
1 B 0.0000 0.0000 0.0000  8 Cl 2.98
2 Sb 0.5000 0.5000 0.5000  8 Cl 2.98
3 Cl 0.2500 0.2500 0.2500  4 Sb 2.98, 4 B 2.98
4 Cl 0.7500 0.7500 0.7500  4 Sb 2.98, 4 B 2.98

***

Density functional theory data (PBE-GGA) for an optimized crystal structure of Sc2BSbCl.

Computed properties:
The total energy comes out at -20.11 eV/cell. As for the crystal system: tetragonal.

a b c (Å): 5.4625 5.4625 5.1816
angles (deg): 90.00 90.00 90.00
With the nearest neighbours (Å) after each atom.
Positions (direct):
1 Sc 0.0000 0.5000 0.0000  2 Sb 2.73
2 Sc 0.5000 0.0000 0.0000  2 Sb 2.73
3 B 0.0000 0.0000 0.5000  8 Sc 3.76, 4 Cl 3.86
4 Sb 0.5000 0.5000 0.0000  2 Cl 2.59, 4 Sc 2.73
5 Cl 0.5000 0.5000 0.5000  2 Sb 2.59

***

Density functional theory data (PBE-GGA) for an optimized crystal structure of BSbTe2Cl.

Computed properties:
The value obtained for the offset from the most stable computed form is 0 meV/atom. As for the crystal system: tetragonal.

a b c (Å): 4.8405 4.8405 5.1228
angles (deg): 90.00 90.00 90.00
With the nearest neighbours (Å) after each atom.
Positions (direct):
1 B 0.0000 0.0000 0.0000  4 Te 2.42, 2 Sb 2.56
2 Sb 0.0000 0.0000 0.5000  2 B 2.56
3 Te 0.0000 0.5000 0.0000  2 B 2.42
4 Te 0.5000 0.0000 0.0000  2 B 2.42
5 Cl 0.5000 0.5000 0.5000  4 Sb 3.42, 8 Te 3.52